No. 1
A relaxed structure of NbAgBi2Ru. Source: the Alexandria database, functional PBE.

extended XYZ file:
```
5
Lattice="-2.896 -1.113 -4.268 3.438 -3.094 -1.526 -2.362 -3.920 2.625" Properties=species:S:1:pos:R:3 pbc="T T T"
Ru 0.000 0.000 0.000
Nb 1.719 -1.547 -0.763
Bi -1.181 -1.960 1.313
Bi -1.448 -0.557 -2.134
Ag -0.910 -4.064 -1.584
```

Properties
The formation energy comes out at 0.85 eV per atom.

***

No. 2
A relaxed structure of ScNbAgBi2. Source: the Alexandria database, functional PBE.

extended XYZ file:
```
5
Lattice="5.472 0.000 0.000 0.000 5.118 0.000 0.000 0.000 5.472" Properties=species:S:1:pos:R:3 pbc="T T T"
Sc 0.000 2.559 0.000
Nb 0.000 0.000 0.000
Bi 0.000 0.000 2.736
Bi 2.736 0.000 0.000
Ag 2.736 2.559 2.736
```

Properties
The formation energy comes out at 0.54 eV per atom.

***

No. 3
A relaxed structure of ScNbAg2Bi. Source: the Alexandria database, functional PBE.

extended XYZ file:
```
5
Lattice="-0.942 4.923 1.127 -1.966 -1.460 4.734 4.681 0.421 2.074" Properties=species:S:1:pos:R:3 pbc="T T T"
Sc 0.886 1.942 3.967
Nb 0.000 0.000 0.000
Bi -0.983 -0.730 2.367
Ag 2.341 0.211 1.037
Ag -0.471 2.462 0.563
```

Properties
The formation energy comes out at 0.83 eV per atom.